No. 1
First-principles (GGA-PBE) data for a relaxed B3PtRh crystal, as listed in the Alexandria database.

Calculated values
* calculated formation energy: 6.06 eV per formula unit
* Fermi-level density of states: 3.43 states/eV/f.u.
* symmetry: Pm-3m (221)
* energy relative to the lowest polymorph listed for this composition: 0.0000 eV per atom

Cell: 4.019 4.019 4.019 Å, 90.00 90.00 90.00°
Fractional coordinates of all 5 atoms:
B (0.000, 0.500, 0.000)
B (0.000, 0.000, 0.500)
B (0.500, 0.000, 0.000)
Rh (0.000, 0.000, 0.000)
Pt (0.500, 0.500, 0.500)

No. 2
First-principles (GGA-PBE) data for a relaxed CsPa2Cl9 crystal, as listed in the Alexandria database.

Calculated values
* Fermi-level density of states: 9.66 states/eV/f.u.
* formation energy from raw total energies: -1762 meV per atom
* symmetry: P6/mmm (191)

Cell: 4.238 9.663 9.663 Å, 120.00 90.00 90.00°
Site moments in Bohr magnetons follow the coordinates.
Fractional coordinates of all 12 atoms:
Cs (0.000, 0.000, 0.000)  0.00
Pa (0.000, 0.667, 0.333)  1.01
Pa (0.000, 0.333, 0.667)  1.01
Cl (0.500, 0.782, 0.218)  -0.01
Cl (0.000, 0.000, 0.500)  -0.01
Cl (0.000, 0.500, 0.500)  -0.01
Cl (0.500, 0.782, 0.564)  -0.01
Cl (0.500, 0.218, 0.782)  -0.01
Cl (0.500, 0.564, 0.782)  -0.01
Cl (0.500, 0.218, 0.436)  -0.01
Cl (0.000, 0.500, 0.000)  -0.01
Cl (0.500, 0.436, 0.218)  -0.01

Number 1: calculated density 8453 kg/m3. Number 2: calculated density 4429 kg/m3.